Record 1
The following is a DFT calculation (PBE-GGA) of crystalline PuCuHgAu at its relaxed geometry.

Density ... 13.80 g/cm³
Space group ... F-43m, No. 216
Size of the total moment ... 5.901 μB/f.u.
Calculated volume ... 84.9 Å³ per cell
ΔE_f ... -0.013 eV/atom

Cell and atoms, written as POSCAR:
```
PuCuHgAu
1.0
0.000 3.488 3.488
3.488 0.000 3.488
3.488 3.488 0.000
Pu Cu Hg Au
1 1 1 1
Direct
0.000 0.000 0.000
0.250 0.250 0.250
0.750 0.750 0.750
0.500 0.500 0.500
```

=====

Record 2
The following is a DFT calculation (PBE-GGA) of crystalline RbCuHgAu2 at its relaxed geometry.

Density ... 9.16 g/cm³
Space group ... P4/mmm, No. 123
Size of the total moment ... 0.000 μB/f.u.
Calculated volume ... 134.8 Å³ per cell
ΔE_f ... -0.033 eV/atom

Cell and atoms, written as POSCAR:
```
RbCuHgAu2
1.0
5.126 0.000 0.000
0.000 5.126 0.000
0.000 0.000 5.131
Rb Cu Hg Au
1 1 1 2
Direct
0.000 0.000 0.000
0.500 0.500 0.500
0.500 0.500 0.000
0.000 0.500 0.500
0.500 0.000 0.500
```

=====

Record 3
The following is a DFT calculation (PBE-GGA) of crystalline CuReHg2Au at its relaxed geometry.

Density ... 10.49 g/cm³
Space group ... P4/mmm, No. 123
Size of the total moment ... 4.627 μB/f.u.
Calculated volume ... 134.2 Å³ per cell
ΔE_f ... 1.544 eV/atom

Cell and atoms, written as POSCAR:
```
CuReHg2Au
1.0
5.259 0.000 0.000
0.000 5.259 0.000
0.000 0.000 4.854
Cu Re Hg Au
1 1 2 1
Direct
0.000 0.000 0.000
0.500 0.500 0.000
0.000 0.500 0.500
0.500 0.000 0.500
0.000 0.000 0.500
```

=====

Record 4
The following is a DFT calculation (PBE-GGA) of crystalline Sc4CuHgAu2 at its relaxed geometry.

Density ... 8.79 g/cm³
Space group ... R-3m, No. 166
Size of the total moment ... 0.000 μB/f.u.
Calculated volume ... 158.3 Å³ per cell
ΔE_f ... -0.569 eV/atom

Cell and atoms, written as POSCAR:
```
Sc4CuHgAu2
1.0
2.408 1.390 7.885
-2.408 1.390 7.885
0.000 -2.780 7.885
Sc Cu Hg Au
4 1 1 2
Direct
0.120 0.120 0.120
0.371 0.371 0.371
0.629 0.629 0.629
0.880 0.880 0.880
0.000 0.000 0.000
0.500 0.500 0.500
0.251 0.251 0.251
0.749 0.749 0.749
```

=====

Record 5
The following is a DFT calculation (PBE-GGA) of crystalline Cu2SiHgAu at its relaxed geometry.

Energy relative to the elements, uncorrected ... 0.9520 eV per atom
Density ... 7.71 g/cm³
Space group ... P4/mmm, No. 123
Size of the total moment ... 0.000 μB/f.u.
Calculated volume ... 119.0 Å³ per cell

Cell and atoms, written as POSCAR:
```
Cu2SiHgAu
1.0
4.791 0.000 0.000
0.000 4.791 0.000
0.000 0.000 5.185
Cu Si Hg Au
2 1 1 1
Direct
0.000 0.500 0.000
0.500 0.000 0.000
0.000 0.000 0.500
0.500 0.500 0.500
0.500 0.500 0.000
```

=====

Record 6
The following is a DFT calculation (PBE-GGA) of crystalline SmCuHgAu at its relaxed geometry.

Density ... 12.14 g/cm³
Space group ... F-43m, No. 216
Size of the total moment ... 0.000 μB/f.u.
Calculated volume ... 83.6 Å³ per cell
ΔE_f ... -0.361 eV/atom

Cell and atoms, written as POSCAR:
```
SmCuHgAu
1.0
0.000 3.471 3.471
3.471 0.000 3.471
3.471 3.471 0.000
Sm Cu Hg Au
1 1 1 1
Direct
0.000 0.000 0.000
0.250 0.250 0.250
0.500 0.500 0.500
0.750 0.750 0.750
```

=====

Record 7
The following is a DFT calculation (PBE-GGA) of crystalline Sr2CuHgAu6 at its relaxed geometry.

Density ... 10.92 g/cm³
Space group ... P-1, No. 2
Size of the total moment ... 0.000 μB/f.u.
Calculated volume ... 246.4 Å³ per cell
ΔE_f ... -0.384 eV/atom

Cell and atoms, written as POSCAR:
```
Sr2CuHgAu6
1.0
5.536 0.000 0.000
2.746 6.534 0.000
2.742 0.138 6.813
Sr Cu Hg Au
2 1 1 6
Direct
0.249 0.214 0.287
0.751 0.786 0.713
0.000 0.000 0.000
0.500 0.500 0.500
0.246 0.603 0.907
0.246 0.767 0.240
0.252 0.233 0.761
0.748 0.767 0.239
0.754 0.233 0.760
0.754 0.397 0.093
```

=====

Record 8
The following is a DFT calculation (PBE-GGA) of crystalline Tm4CuHgAu2 at its relaxed geometry.

Density ... 12.30 g/cm³
Space group ... R-3m, No. 166
Size of the total moment ... 0.000 μB/f.u.
Calculated volume ... 180.1 Å³ per cell
ΔE_f ... -0.627 eV/atom

Cell and atoms, written as POSCAR:
```
Tm4CuHgAu2
1.0
2.516 1.453 8.212
-2.516 1.453 8.212
0.000 -2.906 8.212
Tm Cu Hg Au
4 1 1 2
Direct
0.120 0.120 0.120
0.371 0.371 0.371
0.629 0.629 0.629
0.880 0.880 0.880
0.000 0.000 0.000
0.500 0.500 0.500
0.249 0.249 0.249
0.751 0.751 0.751
```

=====

Record 9
The following is a DFT calculation (PBE-GGA) of crystalline YCu2HgAu at its relaxed geometry.

Density ... 6.61 g/cm³
Space group ... P4/mmm, No. 123
Size of the total moment ... 0.000 μB/f.u.
Calculated volume ... 154.1 Å³ per cell
ΔE_f ... 1.058 eV/atom

Cell and atoms, written as POSCAR:
```
YCu2HgAu
1.0
5.160 0.000 0.000
0.000 5.160 0.000
0.000 0.000 5.788
Y Cu Hg Au
1 2 1 1
Direct
0.000 0.000 0.000
0.000 0.500 0.000
0.500 0.000 0.000
0.000 0.000 0.500
0.500 0.500 0.500
```

=====

Record 10
The following is a DFT calculation (PBE-GGA) of crystalline Ho2CuAu at its relaxed geometry.

Density ... 11.23 g/cm³
Space group ... P4/mmm, No. 123
Size of the total moment ... 0.000 μB/f.u.
Calculated volume ... 87.3 Å³ per cell
ΔE_f ... -0.566 eV/atom

Cell and atoms, written as POSCAR:
```
Ho2CuAu
1.0
3.530 0.000 0.000
0.000 3.530 0.000
0.000 0.000 7.006
Ho Cu Au
2 1 1
Direct
0.000 0.000 0.242
0.000 0.000 0.758
0.500 0.500 0.000
0.500 0.500 0.500
```

=====

Record 11
The following is a DFT calculation (PBE-GGA) of crystalline Ho2Cu15Au2 at its relaxed geometry.

Density ... 10.14 g/cm³
Space group ... R-3m, No. 166
Size of the total moment ... 0.000 μB/f.u.
Calculated volume ... 274.7 Å³ per cell
ΔE_f ... -0.152 eV/atom

Cell and atoms, written as POSCAR:
```
Ho2Cu15Au2
1.0
4.354 2.514 4.184
-4.354 2.514 4.184
0.000 -5.027 4.184
Ho Cu Au
2 15 2
Direct
0.154 0.154 0.154
0.846 0.846 0.846
0.000 0.500 0.500
0.150 0.150 0.661
0.150 0.661 0.150
0.198 0.500 0.802
0.198 0.802 0.500
0.339 0.850 0.850
0.500 0.000 0.500
0.500 0.198 0.802
0.500 0.500 0.000
0.500 0.802 0.198
0.661 0.150 0.150
0.802 0.198 0.500
0.802 0.500 0.198
0.850 0.339 0.850
0.850 0.850 0.339
0.391 0.391 0.391
0.609 0.609 0.609
```

=====

Record 12
The following is a DFT calculation (PBE-GGA) of crystalline HoCu4Au4 at its relaxed geometry.

Density ... 12.79 g/cm³
Space group ... P4_2/n, No. 86
Size of the total moment ... 0.000 μB/f.u.
Calculated volume ... 313.4 Å³ per cell
ΔE_f ... -0.101 eV/atom

Cell and atoms, written as POSCAR:
```
HoCu4Au4
1.0
8.153 0.000 0.000
0.000 8.153 0.000
0.000 0.000 4.716
Ho Cu Au
2 8 8
Direct
0.250 0.250 0.250
0.750 0.750 0.750
0.050 0.145 0.746
0.145 0.450 0.754
0.355 0.050 0.754
0.450 0.355 0.746
0.550 0.645 0.254
0.645 0.950 0.246
0.855 0.550 0.246
0.950 0.855 0.254
0.099 0.832 0.754
0.168 0.599 0.254
0.332 0.901 0.254
0.401 0.668 0.754
0.599 0.332 0.246
0.668 0.099 0.746
0.832 0.401 0.746
0.901 0.168 0.246
```

=====

Record 13
The following is a DFT calculation (PBE-GGA) of crystalline Ho12CuAu6 at its relaxed geometry.

Density ... 9.67 g/cm³
Space group ... R-3, No. 148
Size of the total moment ... 0.000 μB/f.u.
Calculated volume ... 553.8 Å³ per cell
ΔE_f ... -0.416 eV/atom

Cell and atoms, written as POSCAR:
```
Ho12CuAu6
1.0
6.362 3.673 3.950
-6.362 3.673 3.950
0.000 -7.346 3.950
Ho Cu Au
12 1 6
Direct
0.048 0.682 0.934
0.066 0.952 0.318
0.179 0.427 0.580
0.318 0.066 0.952
0.420 0.821 0.573
0.427 0.580 0.179
0.573 0.420 0.821
0.580 0.179 0.427
0.682 0.934 0.048
0.821 0.573 0.420
0.934 0.048 0.682
0.952 0.318 0.066
0.000 0.000 0.000
0.135 0.620 0.305
0.305 0.135 0.620
0.380 0.695 0.865
0.620 0.305 0.135
0.695 0.865 0.380
0.865 0.380 0.695
```

=====

Record 14
The following is a DFT calculation (PBE-GGA) of crystalline Ho4Cu3Au at its relaxed geometry.

Energy above the most stable polymorph in this dataset ... 0.0 meV/atom
Density ... 9.89 g/cm³
Space group ... Pmm2, No. 25
Size of the total moment ... 0.000 μB/f.u.
Calculated volume ... 175.8 Å³ per cell
ΔE_f ... -0.417 eV/atom

Cell and atoms, written as POSCAR:
```
Ho4Cu3Au
1.0
3.751 0.000 0.000
0.000 4.529 0.000
0.000 0.000 10.351
Ho Cu Au
4 3 1
Direct
0.000 0.000 0.000
0.000 0.500 0.272
0.500 0.000 0.488
0.500 0.500 0.776
0.000 0.500 0.552
0.500 0.000 0.206
0.500 0.500 0.062
0.000 0.000 0.712
```

=====

Record 15
The following is a DFT calculation (PBE-GGA) of crystalline Ho4Cu2Au at its relaxed geometry.

Energy above the most stable polymorph in this dataset ... 17.6 meV/atom
Density ... 9.77 g/cm³
Space group ... R-3m, No. 166
Size of the total moment ... 0.000 μB/f.u.
Calculated volume ... 167.3 Å³ per cell
ΔE_f ... -0.308 eV/atom

Cell and atoms, written as POSCAR:
```
Ho4Cu2Au
1.0
2.456 1.418 8.005
-2.456 1.418 8.005
0.000 -2.836 8.005
Ho Cu Au
4 2 1
Direct
0.122 0.122 0.122
0.373 0.373 0.373
0.627 0.627 0.627
0.878 0.878 0.878
0.252 0.252 0.252
0.748 0.748 0.748
0.500 0.500 0.500
```

=====

Record 16
The following is a DFT calculation (PBE-GGA) of crystalline Ho3Cu2Au at its relaxed geometry.

Density ... 10.52 g/cm³
Space group ... P-3m1, No. 164
Size of the total moment ... 0.000 μB/f.u.
Calculated volume ... 258.5 Å³ per cell
ΔE_f ... -0.467 eV/atom

Cell and atoms, written as POSCAR:
```
Ho3Cu2Au
1.0
4.948 0.000 0.000
-2.474 4.285 0.000
0.000 0.000 12.189
Ho Cu Au
6 4 2
Direct
0.000 0.000 0.245
0.000 0.000 0.755
0.333 0.667 0.416
0.333 0.667 0.920
0.667 0.333 0.080
0.667 0.333 0.584
0.000 0.000 0.000
0.000 0.000 0.500
0.333 0.667 0.161
0.667 0.333 0.839
0.333 0.667 0.667
0.667 0.333 0.333
```

=====

Record 17
The following is a DFT calculation (PBE-GGA) of crystalline HoCu5Au7 at its relaxed geometry.

Density ... 14.28 g/cm³
Space group ... Imm2, No. 44
Size of the total moment ... 0.000 μB/f.u.
Calculated volume ... 216.5 Å³ per cell
ΔE_f ... -0.237 eV/atom

Cell and atoms, written as POSCAR:
```
HoCu5Au7
1.0
-2.615 4.530 4.568
2.615 -4.530 4.568
2.615 4.530 -4.568
Ho Cu Au
1 5 7
Direct
0.000 0.000 0.000
0.498 0.491 0.503
0.498 0.995 0.006
0.761 0.261 0.500
0.989 0.491 0.994
0.989 0.995 0.497
0.187 0.488 0.699
0.221 0.721 0.500
0.336 0.998 0.338
0.340 0.340 0.000
0.659 0.998 0.662
0.668 0.668 0.000
0.789 0.488 0.301
```

=====

Record 18
The following is a DFT calculation (PBE-GGA) of crystalline Ho7Cu2Au2 at its relaxed geometry.

Density ... 9.56 g/cm³
Space group ... Cmmm, No. 65
Size of the total moment ... 0.000 μB/f.u.
Calculated volume ... 291.2 Å³ per cell
ΔE_f ... -0.173 eV/atom

Cell and atoms, written as POSCAR:
```
Ho7Cu2Au2
1.0
3.824 -5.377 0.000
3.824 5.377 0.000
0.000 0.000 7.081
Ho Cu Au
7 2 2
Direct
0.000 0.000 0.000
0.000 0.500 0.265
0.000 0.500 0.735
0.500 0.000 0.265
0.500 0.000 0.735
0.500 0.500 0.254
0.500 0.500 0.746
0.295 0.705 0.000
0.705 0.295 0.000
0.189 0.189 0.500
0.811 0.811 0.500
```

=====

Record 19
The following is a DFT calculation (PBE-GGA) of crystalline Ho3Cu2Au at its relaxed geometry.

Density ... 10.57 g/cm³
Space group ... P4/mmm, No. 123
Size of the total moment ... 0.000 μB/f.u.
Calculated volume ... 128.7 Å³ per cell
ΔE_f ... -0.466 eV/atom

Cell and atoms, written as POSCAR:
```
Ho3Cu2Au
1.0
3.495 0.000 0.000
0.000 3.495 0.000
0.000 0.000 10.534
Ho Cu Au
3 2 1
Direct
0.000 0.000 0.000
0.000 0.000 0.326
0.000 0.000 0.674
0.500 0.500 0.161
0.500 0.500 0.839
0.500 0.500 0.500
```

=====

Record 20
The following is a DFT calculation (PBE-GGA) of crystalline HoCu9Au2 at its relaxed geometry.

Density ... 10.94 g/cm³
Space group ... R-3m, No. 166
Size of the total moment ... 0.000 μB/f.u.
Calculated volume ... 171.7 Å³ per cell
ΔE_f ... -0.133 eV/atom

Cell and atoms, written as POSCAR:
```
HoCu9Au2
1.0
2.496 1.441 7.957
-2.496 1.441 7.957
0.000 -2.882 7.957
Ho Cu Au
1 9 2
Direct
0.000 0.000 0.000
0.081 0.587 0.587
0.334 0.334 0.334
0.413 0.413 0.919
0.413 0.919 0.413
0.500 0.500 0.500
0.587 0.081 0.587
0.587 0.587 0.081
0.666 0.666 0.666
0.919 0.413 0.413
0.141 0.141 0.141
0.859 0.859 0.859
```